## one
# TaCoSbAu (PBE, optimized geometry)
# mass density: 13.6 g/cm³
# M_tot: 0.2 μB/f.u.
data_TaCoSbAu
_symmetry_space_group_name_H-M 'F -4 3 m'
_symmetry_Int_Tables_number 216
_symmetry_space_group_name_Hall 'F -4 2 3'
_cell_length_a 6.490
_cell_length_b 6.490
_cell_length_c 6.490
_cell_angle_alpha 90.00
_cell_angle_beta 90.00
_cell_angle_gamma 90.00
loop_
_atom_site_label
_atom_site_fract_x
_atom_site_fract_y
_atom_site_fract_z
_atom_site_occupancy
Ta1 0.000 0.000 0.000 1
Co1 0.000 0.000 0.500 1
Sb1 0.250 0.250 0.250 1
Au1 0.250 0.250 0.750 1



## two
# TaCoSbAu (PBE, optimized geometry)
# mass density: 13.3 g/cm³
# M_tot: 0.0 μB/f.u.
data_TaCoSbAu
_symmetry_space_group_name_H-M 'F -4 3 m'
_symmetry_Int_Tables_number 216
_symmetry_space_group_name_Hall 'F -4 2 3'
_cell_length_a 6.541
_cell_length_b 6.541
_cell_length_c 6.541
_cell_angle_alpha 90.00
_cell_angle_beta 90.00
_cell_angle_gamma 90.00
loop_
_atom_site_label
_atom_site_fract_x
_atom_site_fract_y
_atom_site_fract_z
_atom_site_occupancy
Ta1 0.000 0.000 0.000 1
Co1 0.250 0.250 0.750 1
Sb1 0.000 0.000 0.500 1
Au1 0.250 0.250 0.250 1



Which of them is most stable, and which least? Most stable: one; least stable: two.



## one
# ScCoSiAu (PBE, optimized geometry)
# mass density: 8.9 g/cm³
# M_tot: 0.9 μB/f.u.
data_ScCoSiAu
_symmetry_space_group_name_H-M 'F -4 3 m'
_symmetry_Int_Tables_number 216
_symmetry_space_group_name_Hall 'F -4 2 3'
_cell_length_a 6.252
_cell_length_b 6.252
_cell_length_c 6.252
_cell_angle_alpha 90.00
_cell_angle_beta 90.00
_cell_angle_gamma 90.00
loop_
_atom_site_label
_atom_site_fract_x
_atom_site_fract_y
_atom_site_fract_z
_atom_site_occupancy
Sc1 0.000 0.000 0.000 1
Co1 0.250 0.250 0.750 1
Si1 0.000 0.000 0.500 1
Au1 0.250 0.250 0.250 1



## two
# ScCoSiAu (PBE, optimized geometry)
# mass density: 8.8 g/cm³
# M_tot: 0.1 μB/f.u.
data_ScCoSiAu
_symmetry_space_group_name_H-M 'F -4 3 m'
_symmetry_Int_Tables_number 216
_symmetry_space_group_name_Hall 'F -4 2 3'
_cell_length_a 6.275
_cell_length_b 6.275
_cell_length_c 6.275
_cell_angle_alpha 90.00
_cell_angle_beta 90.00
_cell_angle_gamma 90.00
loop_
_atom_site_label
_atom_site_fract_x
_atom_site_fract_y
_atom_site_fract_z
_atom_site_occupancy
Sc1 0.000 0.000 0.000 1
Co1 0.000 0.000 0.500 1
Si1 0.250 0.250 0.250 1
Au1 0.250 0.250 0.750 1



Which of them is most stable, and which least? Most stable: one; least stable: two.



## one
# ScCoSnAu (PBE, optimized geometry)
# mass density: 10.0 g/cm³
# M_tot: 0.2 μB/f.u.
data_ScCoSnAu
_symmetry_space_group_name_H-M 'F -4 3 m'
_symmetry_Int_Tables_number 216
_symmetry_space_group_name_Hall 'F -4 2 3'
_cell_length_a 6.540
_cell_length_b 6.540
_cell_length_c 6.540
_cell_angle_alpha 90.00
_cell_angle_beta 90.00
_cell_angle_gamma 90.00
loop_
_atom_site_label
_atom_site_fract_x
_atom_site_fract_y
_atom_site_fract_z
_atom_site_occupancy
Sc1 0.000 0.000 0.000 1
Co1 0.000 0.000 0.500 1
Sn1 0.250 0.250 0.250 1
Au1 0.250 0.250 0.750 1



## two
# ScCoSnAu (PBE, optimized geometry)
# mass density: 9.9 g/cm³
# M_tot: 1.1 μB/f.u.
data_ScCoSnAu
_symmetry_space_group_name_H-M 'F -4 3 m'
_symmetry_Int_Tables_number 216
_symmetry_space_group_name_Hall 'F -4 2 3'
_cell_length_a 6.564
_cell_length_b 6.564
_cell_length_c 6.564
_cell_angle_alpha 90.00
_cell_angle_beta 90.00
_cell_angle_gamma 90.00
loop_
_atom_site_label
_atom_site_fract_x
_atom_site_fract_y
_atom_site_fract_z
_atom_site_occupancy
Sc1 0.000 0.000 0.000 1
Co1 0.250 0.250 0.750 1
Sn1 0.000 0.000 0.500 1
Au1 0.250 0.250 0.250 1



Which of them is most stable, and which least? Most stable: two; least stable: one.



## one
# ScTaCoAu (PBE, optimized geometry)
# mass density: 12.6 g/cm³
# M_tot: 0.0 μB/f.u.
data_ScTaCoAu
_symmetry_space_group_name_H-M 'F -4 3 m'
_symmetry_Int_Tables_number 216
_symmetry_space_group_name_Hall 'F -4 2 3'
_cell_length_a 6.327
_cell_length_b 6.327
_cell_length_c 6.327
_cell_angle_alpha 90.00
_cell_angle_beta 90.00
_cell_angle_gamma 90.00
loop_
_atom_site_label
_atom_site_fract_x
_atom_site_fract_y
_atom_site_fract_z
_atom_site_occupancy
Sc1 0.000 0.000 0.000 1
Ta1 0.250 0.250 0.750 1
Co1 0.000 0.000 0.500 1
Au1 0.250 0.250 0.250 1



## two
# ScTaCoAu (PBE, optimized geometry)
# mass density: 11.8 g/cm³
# M_tot: 0.8 μB/f.u.
data_ScTaCoAu
_symmetry_space_group_name_H-M 'F -4 3 m'
_symmetry_Int_Tables_number 216
_symmetry_space_group_name_Hall 'F -4 2 3'
_cell_length_a 6.478
_cell_length_b 6.478
_cell_length_c 6.478
_cell_angle_alpha 90.00
_cell_angle_beta 90.00
_cell_angle_gamma 90.00
loop_
_atom_site_label
_atom_site_fract_x
_atom_site_fract_y
_atom_site_fract_z
_atom_site_occupancy
Sc1 0.000 0.000 0.000 1
Ta1 0.000 0.000 0.500 1
Co1 0.250 0.250 0.750 1
Au1 0.250 0.250 0.250 1



Which of them is most stable, and which least? Most stable: two; least stable: one.



## one
# ScZnCoAu (PBE, optimized geometry)
# mass density: 9.6 g/cm³
# M_tot: 0.0 μB/f.u.
data_ScZnCoAu
_symmetry_space_group_name_H-M 'F -4 3 m'
_symmetry_Int_Tables_number 216
_symmetry_space_group_name_Hall 'F -4 2 3'
_cell_length_a 6.328
_cell_length_b 6.328
_cell_length_c 6.328
_cell_angle_alpha 90.00
_cell_angle_beta 90.00
_cell_angle_gamma 90.00
loop_
_atom_site_label
_atom_site_fract_x
_atom_site_fract_y
_atom_site_fract_z
_atom_site_occupancy
Sc1 0.000 0.000 0.000 1
Zn1 0.000 0.000 0.500 1
Co1 0.250 0.250 0.750 1
Au1 0.250 0.250 0.250 1



## two
# ScZnCoAu (PBE, optimized geometry)
# mass density: 9.4 g/cm³
# M_tot: 0.0 μB/f.u.
data_ScZnCoAu
_symmetry_space_group_name_H-M 'F -4 3 m'
_symmetry_Int_Tables_number 216
_symmetry_space_group_name_Hall 'F -4 2 3'
_cell_length_a 6.362
_cell_length_b 6.362
_cell_length_c 6.362
_cell_angle_alpha 90.00
_cell_angle_beta 90.00
_cell_angle_gamma 90.00
loop_
_atom_site_label
_atom_site_fract_x
_atom_site_fract_y
_atom_site_fract_z
_atom_site_occupancy
Sc1 0.000 0.000 0.000 1
Zn1 0.250 0.250 0.250 1
Co1 0.000 0.000 0.500 1
Au1 0.250 0.250 0.750 1



Which of them is most stable, and which least? Most stable: one; least stable: two.



## one
# TaCoSiAu (PBE, optimized geometry)
# mass density: 12.8 g/cm³
# M_tot: 0.0 μB/f.u.
data_TaCoSiAu
_symmetry_space_group_name_H-M 'F -4 3 m'
_symmetry_Int_Tables_number 216
_symmetry_space_group_name_Hall 'F -4 2 3'
_cell_length_a 6.226
_cell_length_b 6.226
_cell_length_c 6.226
_cell_angle_alpha 90.00
_cell_angle_beta 90.00
_cell_angle_gamma 90.00
loop_
_atom_site_label
_atom_site_fract_x
_atom_site_fract_y
_atom_site_fract_z
_atom_site_occupancy
Ta1 0.000 0.000 0.000 1
Co1 0.250 0.250 0.750 1
Si1 0.000 0.000 0.500 1
Au1 0.250 0.250 0.250 1



## two
# TaCoSiAu (PBE, optimized geometry)
# mass density: 12.9 g/cm³
# M_tot: 0.4 μB/f.u.
data_TaCoSiAu
_symmetry_space_group_name_H-M 'F -4 3 m'
_symmetry_Int_Tables_number 216
_symmetry_space_group_name_Hall 'F -4 2 3'
_cell_length_a 6.203
_cell_length_b 6.203
_cell_length_c 6.203
_cell_angle_alpha 90.00
_cell_angle_beta 90.00
_cell_angle_gamma 90.00
loop_
_atom_site_label
_atom_site_fract_x
_atom_site_fract_y
_atom_site_fract_z
_atom_site_occupancy
Ta1 0.000 0.000 0.000 1
Co1 0.000 0.000 0.500 1
Si1 0.250 0.250 0.250 1
Au1 0.250 0.250 0.750 1



Which of them is most stable, and which least? Most stable: two; least stable: one.



## one
# CoSiWAu (PBE, optimized geometry)
# mass density: 13.4 g/cm³
# M_tot: 0.0 μB/f.u.
data_CoSiWAu
_symmetry_space_group_name_H-M 'F -4 3 m'
_symmetry_Int_Tables_number 216
_symmetry_space_group_name_Hall 'F -4 2 3'
_cell_length_a 6.146
_cell_length_b 6.146
_cell_length_c 6.146
_cell_angle_alpha 90.00
_cell_angle_beta 90.00
_cell_angle_gamma 90.00
loop_
_atom_site_label
_atom_site_fract_x
_atom_site_fract_y
_atom_site_fract_z
_atom_site_occupancy
Co1 0.000 0.000 0.000 1
Si1 0.250 0.250 0.750 1
W1 0.250 0.250 0.250 1
Au1 0.000 0.000 0.500 1



## two
# CoSiWAu (PBE, optimized geometry)
# mass density: 13.6 g/cm³
# M_tot: 0.6 μB/f.u.
data_CoSiWAu
_symmetry_space_group_name_H-M 'F -4 3 m'
_symmetry_Int_Tables_number 216
_symmetry_space_group_name_Hall 'F -4 2 3'
_cell_length_a 6.119
_cell_length_b 6.119
_cell_length_c 6.119
_cell_angle_alpha 90.00
_cell_angle_beta 90.00
_cell_angle_gamma 90.00
loop_
_atom_site_label
_atom_site_fract_x
_atom_site_fract_y
_atom_site_fract_z
_atom_site_occupancy
Co1 0.000 0.000 0.000 1
Si1 0.250 0.250 0.750 1
W1 0.000 0.000 0.500 1
Au1 0.250 0.250 0.250 1



Which of them is most stable, and which least? Most stable: two; least stable: one.



## one
# ZnCoSiAu (PBE, optimized geometry)
# mass density: 10.6 g/cm³
# M_tot: 0.7 μB/f.u.
data_ZnCoSiAu
_symmetry_space_group_name_H-M 'F -4 3 m'
_symmetry_Int_Tables_number 216
_symmetry_space_group_name_Hall 'F -4 2 3'
_cell_length_a 6.036
_cell_length_b 6.036
_cell_length_c 6.036
_cell_angle_alpha 90.00
_cell_angle_beta 90.00
_cell_angle_gamma 90.00
loop_
_atom_site_label
_atom_site_fract_x
_atom_site_fract_y
_atom_site_fract_z
_atom_site_occupancy
Zn1 0.000 0.000 0.000 1
Co1 0.250 0.250 0.750 1
Si1 0.000 0.000 0.500 1
Au1 0.250 0.250 0.250 1



## two
# ZnCoSiAu (PBE, optimized geometry)
# mass density: 10.3 g/cm³
# M_tot: 0.7 μB/f.u.
data_ZnCoSiAu
_symmetry_space_group_name_H-M 'F -4 3 m'
_symmetry_Int_Tables_number 216
_symmetry_space_group_name_Hall 'F -4 2 3'
_cell_length_a 6.089
_cell_length_b 6.089
_cell_length_c 6.089
_cell_angle_alpha 90.00
_cell_angle_beta 90.00
_cell_angle_gamma 90.00
loop_
_atom_site_label
_atom_site_fract_x
_atom_site_fract_y
_atom_site_fract_z
_atom_site_occupancy
Zn1 0.000 0.000 0.000 1
Co1 0.000 0.000 0.500 1
Si1 0.250 0.250 0.250 1
Au1 0.250 0.250 0.750 1



Which of them is most stable, and which least? Most stable: one; least stable: two.



## one
# ZrCoSiAu (PBE, optimized geometry)
# mass density: 9.7 g/cm³
# M_tot: 0.6 μB/f.u.
data_ZrCoSiAu
_symmetry_space_group_name_H-M 'F -4 3 m'
_symmetry_Int_Tables_number 216
_symmetry_space_group_name_Hall 'F -4 2 3'
_cell_length_a 6.366
_cell_length_b 6.366
_cell_length_c 6.366
_cell_angle_alpha 90.00
_cell_angle_beta 90.00
_cell_angle_gamma 90.00
loop_
_atom_site_label
_atom_site_fract_x
_atom_site_fract_y
_atom_site_fract_z
_atom_site_occupancy
Zr1 0.000 0.000 0.000 1
Co1 0.000 0.000 0.500 1
Si1 0.250 0.250 0.250 1
Au1 0.250 0.250 0.750 1



## two
# ZrCoSiAu (PBE, optimized geometry)
# mass density: 9.9 g/cm³
# M_tot: 0.5 μB/f.u.
data_ZrCoSiAu
_symmetry_space_group_name_H-M 'F -4 3 m'
_symmetry_Int_Tables_number 216
_symmetry_space_group_name_Hall 'F -4 2 3'
_cell_length_a 6.305
_cell_length_b 6.305
_cell_length_c 6.305
_cell_angle_alpha 90.00
_cell_angle_beta 90.00
_cell_angle_gamma 90.00
loop_
_atom_site_label
_atom_site_fract_x
_atom_site_fract_y
_atom_site_fract_z
_atom_site_occupancy
Zr1 0.000 0.000 0.000 1
Co1 0.250 0.250 0.250 1
Si1 0.250 0.250 0.750 1
Au1 0.000 0.000 0.500 1



Which of them is most stable, and which least? Most stable: one; least stable: two.



## one
# YCoSnAu (PBE, optimized geometry)
# mass density: 10.0 g/cm³
# M_tot: 1.3 μB/f.u.
data_YCoSnAu
_symmetry_space_group_name_H-M 'F -4 3 m'
_symmetry_Int_Tables_number 216
_symmetry_space_group_name_Hall 'F -4 2 3'
_cell_length_a 6.762
_cell_length_b 6.762
_cell_length_c 6.762
_cell_angle_alpha 90.00
_cell_angle_beta 90.00
_cell_angle_gamma 90.00
loop_
_atom_site_label
_atom_site_fract_x
_atom_site_fract_y
_atom_site_fract_z
_atom_site_occupancy
Y1 0.000 0.000 0.000 1
Co1 0.250 0.250 0.750 1
Sn1 0.000 0.000 0.500 1
Au1 0.250 0.250 0.250 1



## two
# YCoSnAu (PBE, optimized geometry)
# mass density: 9.8 g/cm³
# M_tot: 1.4 μB/f.u.
data_YCoSnAu
_symmetry_space_group_name_H-M 'F -4 3 m'
_symmetry_Int_Tables_number 216
_symmetry_space_group_name_Hall 'F -4 2 3'
_cell_length_a 6.805
_cell_length_b 6.805
_cell_length_c 6.805
_cell_angle_alpha 90.00
_cell_angle_beta 90.00
_cell_angle_gamma 90.00
loop_
_atom_site_label
_atom_site_fract_x
_atom_site_fract_y
_atom_site_fract_z
_atom_site_occupancy
Y1 0.000 0.000 0.000 1
Co1 0.000 0.000 0.500 1
Sn1 0.250 0.250 0.250 1
Au1 0.250 0.250 0.750 1



Which of them is most stable, and which least? Most stable: one; least stable: two.



## one
# YTaCoAu (PBE, optimized geometry)
# mass density: 11.7 g/cm³
# M_tot: 0.0 μB/f.u.
data_YTaCoAu
_symmetry_space_group_name_H-M 'F -4 3 m'
_symmetry_Int_Tables_number 216
_symmetry_space_group_name_Hall 'F -4 2 3'
_cell_length_a 6.685
_cell_length_b 6.685
_cell_length_c 6.685
_cell_angle_alpha 90.00
_cell_angle_beta 90.00
_cell_angle_gamma 90.00
loop_
_atom_site_label
_atom_site_fract_x
_atom_site_fract_y
_atom_site_fract_z
_atom_site_occupancy
Y1 0.000 0.000 0.000 1
Ta1 0.000 0.000 0.500 1
Co1 0.250 0.250 0.750 1
Au1 0.250 0.250 0.250 1



## two
# YTaCoAu (PBE, optimized geometry)
# mass density: 12.5 g/cm³
# M_tot: 0.0 μB/f.u.
data_YTaCoAu
_symmetry_space_group_name_H-M 'F -4 3 m'
_symmetry_Int_Tables_number 216
_symmetry_space_group_name_Hall 'F -4 2 3'
_cell_length_a 6.541
_cell_length_b 6.541
_cell_length_c 6.541
_cell_angle_alpha 90.00
_cell_angle_beta 90.00
_cell_angle_gamma 90.00
loop_
_atom_site_label
_atom_site_fract_x
_atom_site_fract_y
_atom_site_fract_z
_atom_site_occupancy
Y1 0.000 0.000 0.000 1
Ta1 0.250 0.250 0.750 1
Co1 0.000 0.000 0.500 1
Au1 0.250 0.250 0.250 1



Which of them is most stable, and which least? Most stable: one; least stable: two.



## one
# TaZnCoAu (PBE, optimized geometry)
# mass density: 13.8 g/cm³
# M_tot: 0.2 μB/f.u.
data_TaZnCoAu
_symmetry_space_group_name_H-M 'F -4 3 m'
_symmetry_Int_Tables_number 216
_symmetry_space_group_name_Hall 'F -4 2 3'
_cell_length_a 6.224
_cell_length_b 6.224
_cell_length_c 6.224
_cell_angle_alpha 90.00
_cell_angle_beta 90.00
_cell_angle_gamma 90.00
loop_
_atom_site_label
_atom_site_fract_x
_atom_site_fract_y
_atom_site_fract_z
_atom_site_occupancy
Ta1 0.000 0.000 0.000 1
Zn1 0.250 0.250 0.250 1
Co1 0.000 0.000 0.500 1
Au1 0.250 0.250 0.750 1



## two
# TaZnCoAu (PBE, optimized geometry)
# mass density: 13.7 g/cm³
# M_tot: 1.0 μB/f.u.
data_TaZnCoAu
_symmetry_space_group_name_H-M 'F -4 3 m'
_symmetry_Int_Tables_number 216
_symmetry_space_group_name_Hall 'F -4 2 3'
_cell_length_a 6.248
_cell_length_b 6.248
_cell_length_c 6.248
_cell_angle_alpha 90.00
_cell_angle_beta 90.00
_cell_angle_gamma 90.00
loop_
_atom_site_label
_atom_site_fract_x
_atom_site_fract_y
_atom_site_fract_z
_atom_site_occupancy
Ta1 0.000 0.000 0.000 1
Zn1 0.000 0.000 0.500 1
Co1 0.250 0.250 0.750 1
Au1 0.250 0.250 0.250 1



Which of them is most stable, and which least? Most stable: two; least stable: one.